LiTe2Mo: relaxed, PBE.

abc: 5.073 5.073 5.073
angles: 60.00 60.00 60.00
Sites, in units of the cell vectors:
Li 0.000 0.000 0.000
Te 0.500 0.500 0.500
Te 0.750 0.750 0.750
Mo 0.250 0.250 0.250

Calculated values
The value obtained for the total energy is -16.6 eV per cell. The density of states at the Fermi level comes out at 1.5 states/eV/f.u. The value obtained for the size of the total moment is 3.03 μB per formula unit.

---

Li2TeMo2: relaxed, PBE.

abc: 7.829 7.829 7.829
angles: 154.15 154.15 36.88
Sites, in units of the cell vectors:
Li 0.250 0.750 0.500
Li 0.750 0.250 0.500
Te 0.000 0.000 0.000
Mo 0.414 0.414 0.000
Mo 0.586 0.586 0.000

Calculated values
The value obtained for the total energy is -25.0 eV per cell. The density of states at the Fermi level comes out at 4.9 states/eV/f.u. The value obtained for the size of the total moment is 0.00 μB per formula unit.

---

Li2TeMo2: relaxed, PBE.

abc: 6.801 6.801 3.985
angles: 90.00 90.00 90.00
Sites, in units of the cell vectors:
Li 0.171 0.329 0.000
Li 0.329 0.829 0.000
Li 0.671 0.171 0.000
Li 0.829 0.671 0.000
Te 0.000 0.000 0.500
Te 0.500 0.500 0.500
Mo 0.118 0.618 0.500
Mo 0.382 0.118 0.500
Mo 0.618 0.882 0.500
Mo 0.882 0.382 0.500

Calculated values
The value obtained for the total energy is -53.2 eV per cell. The density of states at the Fermi level comes out at 4.6 states/eV/f.u. The value obtained for the size of the total moment is 0.00 μB per formula unit.

---

LiTe2Mo: relaxed, PBE.

abc: 4.805 4.805 4.805
angles: 60.00 60.00 60.00
Sites, in units of the cell vectors:
Li 0.000 0.000 0.000
Te 0.250 0.250 0.250
Te 0.750 0.750 0.750
Mo 0.500 0.500 0.500

Calculated values
The value obtained for the total energy is -19.2 eV per cell. The density of states at the Fermi level comes out at 3.6 states/eV/f.u. The value obtained for the size of the total moment is 0.00 μB per formula unit.

---

Question: What is the density of states at the Fermi level in the second record?
Answer: 4.9 states/eV/f.u.

---

Question: Which of these has the highest density of states at the Fermi level?
Answer: number 2